# 1
YRe2P: relaxed, GGA-PBE.

Properties
final energy	-8.833	eV/atom

a b c (Å): 4.298 4.298 7.300
angles (deg): 90.00 90.00 90.00
Space group I-4m2 (No. 119)
Symmetry-distinct sites (fractional):
Y 0.000 0.000 0.000 [2 per cell]
Re 0.000 0.000 0.500 [2 per cell]
Re 0.000 0.500 0.250 [2 per cell]
P 0.000 0.500 0.750 [2 per cell]

# 2
YReP2: relaxed, GGA-PBE.

Properties
final energy	-7.960	eV/atom
relative energy among the computed polymorphs	174	meV per atom

a b c (Å): 4.444 3.474 10.368
angles (deg): 90.00 90.00 90.00
Space group Amm2 (No. 38)
Symmetry-distinct sites (fractional):
Y 0.000 0.000 0.000 [2 per cell]
Re 0.500 0.000 0.225 [2 per cell]
P 0.000 0.000 0.282 [2 per cell]
P 0.500 0.000 0.573 [2 per cell]

# 3
YRe2P: relaxed, GGA-PBE.

Properties
final energy	-9.041	eV/atom

a b c (Å): 3.310 4.653 4.642
angles (deg): 90.00 93.36 90.00
Space group P2/m (No. 10)
Symmetry-distinct sites (fractional):
Y 0.000 0.000 0.000 [1 per cell]
Re 0.356 0.500 0.742 [2 per cell]
P 0.500 0.000 0.500 [1 per cell]

# 4
YReP: relaxed, GGA-PBE.

Properties
final energy	-8.439	eV/atom
relative energy among the computed polymorphs	136	meV per atom

a b c (Å): 3.5598 3.5598 5.3810
angles (deg): 90.00 90.00 120.00
Space group P3m1 (No. 156)
Symmetry-distinct sites (fractional):
Y 0.0000 0.0000 0.0000 [1 per cell]
Re 0.3333 0.6667 0.5421 [1 per cell]
P 0.6667 0.3333 0.3364 [1 per cell]

# 5
YRe4P: relaxed, GGA-PBE.

Properties
final energy	-9.906	eV/atom

a b c (Å): 7.510 7.510 7.510
angles (deg): 90.00 90.00 90.00
Space group F-43m (No. 216)
Symmetry-distinct sites (fractional):
Y 0.000 0.000 0.000 [4 per cell]
Re 0.124 0.124 0.624 [16 per cell]
P 0.250 0.250 0.250 [4 per cell]

# 6
YReP: relaxed, GGA-PBE.

Properties
final energy	-8.131	eV/atom
relative energy among the computed polymorphs	444	meV per atom

a b c (Å): 6.154 6.154 6.154
angles (deg): 90.00 90.00 90.00
Space group F-43m (No. 216)
Symmetry-distinct sites (fractional):
Y 0.000 0.000 0.000 [4 per cell]
Re 0.000 0.000 0.500 [4 per cell]
P 0.250 0.250 0.250 [4 per cell]

# 7
YRe2P2: relaxed, GGA-PBE.

Properties
final energy	-8.890	eV/atom

a b c (Å): 4.376 4.376 9.112
angles (deg): 90.00 90.00 90.00
Space group I4/mmm (No. 139)
Symmetry-distinct sites (fractional):
Y 0.000 0.000 0.000 [2 per cell]
Re 0.000 0.000 0.370 [4 per cell]
P 0.000 0.500 0.250 [4 per cell]

# 8
YReP2: relaxed, GGA-PBE.

Properties
final energy	-7.834	eV/atom
relative energy among the computed polymorphs	300	meV per atom

a b c (Å): 3.083 3.083 6.774
angles (deg): 90.00 90.00 90.00
Space group P4/mmm (No. 123)
Symmetry-distinct sites (fractional):
Y 0.000 0.000 0.000 [1 per cell]
Re 0.000 0.000 0.500 [1 per cell]
P 0.500 0.500 0.294 [2 per cell]